Record 1
## KRb2TcS4 (PBE)

Data for KRb2TcS4 after structural relaxation.

Cell: 8.140 8.140 8.454 Å, 90.00 90.00 90.00°
Space group I-4 (No. 82)
Asymmetric unit:
K 0.000 0.000 0.000 (multiplicity 2)
Rb 0.000 0.000 0.500 (multiplicity 2)
Rb 0.000 0.500 0.750 (multiplicity 2)
Tc 0.000 0.500 0.250 (multiplicity 2)
S 0.152 0.333 0.101 (multiplicity 8)

Computed properties:
size of the total moment: 2.01 μB/f.u.
crystal system: tetragonal
energy relative to the elements, uncorrected: -0.827 eV per atom

Record 2
## KRb2TeS (PBE)

Data for KRb2TeS after structural relaxation.

Cell: 6.288 6.288 6.013 Å, 90.00 90.00 90.00°
Space group P4/mmm (No. 123)
Asymmetric unit:
K 0.000 0.000 0.000 (multiplicity 1)
Rb 0.000 0.500 0.500 (multiplicity 2)
Te 0.500 0.500 0.000 (multiplicity 1)
S 0.000 0.000 0.500 (multiplicity 1)

Computed properties:
size of the total moment: 1.06 μB/f.u.
crystal system: tetragonal
energy relative to the elements, uncorrected: -0.737 eV per atom

Record 3
## K2RbTeS (PBE)

Data for K2RbTeS after structural relaxation.

Cell: 6.016 6.016 6.251 Å, 90.00 90.00 90.00°
Space group P4/mmm (No. 123)
Asymmetric unit:
K 0.000 0.500 0.000 (multiplicity 2)
Rb 0.000 0.000 0.500 (multiplicity 1)
Te 0.500 0.500 0.500 (multiplicity 1)
S 0.000 0.000 0.000 (multiplicity 1)

Computed properties:
size of the total moment: 1.06 μB/f.u.
crystal system: tetragonal
energy relative to the elements, uncorrected: -0.750 eV per atom

Record 4
## KRbTeS2 (PBE)

Data for KRbTeS2 after structural relaxation.

Cell: 5.513 4.110 8.505 Å, 90.00 107.74 90.00°
Space group P2/m (No. 10)
Asymmetric unit:
K 0.000 0.000 0.000 (multiplicity 1)
Rb 0.500 0.500 0.500 (multiplicity 1)
Te 0.500 0.500 0.000 (multiplicity 1)
S 0.375 0.000 0.772 (multiplicity 2)

Computed properties:
size of the total moment: 0.00 μB/f.u.
crystal system: monoclinic
energy relative to the elements, uncorrected: -0.693 eV per atom

Record 5
## KRb3Th2S6 (PBE)

Data for KRb3Th2S6 after structural relaxation.

Cell: 19.764 4.294 9.305 Å, 90.00 106.36 90.00°
Space group C2/m (No. 12)
Asymmetric unit:
K 0.000 0.000 0.000 (multiplicity 2)
Rb 0.000 0.000 0.500 (multiplicity 2)
Rb 0.155 0.500 0.833 (multiplicity 4)
Th 0.165 0.500 0.330 (multiplicity 4)
S 0.027 0.500 0.260 (multiplicity 4)
S 0.174 0.000 0.139 (multiplicity 4)
S 0.181 0.000 0.546 (multiplicity 4)

Computed properties:
size of the total moment: 0.00 μB/f.u.
crystal system: monoclinic
energy relative to the elements, uncorrected: -1.663 eV per atom

Record 6
## K3RbTh2S6 (PBE)

Data for K3RbTh2S6 after structural relaxation.

Cell: 19.265 4.285 9.143 Å, 90.00 103.86 90.00°
Space group C2/m (No. 12)
Asymmetric unit:
K 0.000 0.000 0.000 (multiplicity 2)
K 0.156 0.500 0.332 (multiplicity 4)
Rb 0.000 0.000 0.500 (multiplicity 2)
Th 0.166 0.500 0.833 (multiplicity 4)
S 0.025 0.500 0.773 (multiplicity 4)
S 0.177 0.000 0.639 (multiplicity 4)
S 0.179 0.000 0.051 (multiplicity 4)

Computed properties:
size of the total moment: 0.00 μB/f.u.
crystal system: monoclinic
energy relative to the elements, uncorrected: -1.664 eV per atom

Record 7
## KRbTiS3 (PBE)

Data for KRbTiS3 after structural relaxation.

Cell: 7.508 14.577 6.644 Å, 90.00 101.93 90.00°
Space group C2/c (No. 15)
Asymmetric unit:
K 0.000 0.088 0.250 (multiplicity 4)
Rb 0.000 0.264 0.750 (multiplicity 4)
Ti 0.000 0.453 0.250 (multiplicity 4)
S 0.000 0.299 0.250 (multiplicity 4)
S 0.204 0.462 0.997 (multiplicity 8)

Computed properties:
size of the total moment: 0.00 μB/f.u.
crystal system: monoclinic
energy relative to the elements, uncorrected: -1.336 eV per atom

Record 8
## KRbTlS2 (PBE)

Data for KRbTlS2 after structural relaxation.

Cell: 7.618 7.230 8.221 Å, 90.00 90.24 90.00°
Space group P2/c (No. 13)
Asymmetric unit:
K 0.000 0.000 0.250 (multiplicity 2)
Rb 0.500 0.497 0.250 (multiplicity 2)
Tl 0.000 0.500 0.000 (multiplicity 2)
S 0.238 0.244 0.501 (multiplicity 4)

Computed properties:
size of the total moment: 0.98 μB/f.u.
crystal system: monoclinic
energy relative to the elements, uncorrected: -0.577 eV per atom

Record 9
## KRb2U2S7 (PBE)

Data for KRb2U2S7 after structural relaxation.

Cell: 5.204 5.204 27.011 Å, 90.00 90.00 90.00°
Space group I4/mmm (No. 139)
Asymmetric unit:
K 0.000 0.000 0.000 (multiplicity 2)
Rb 0.000 0.000 0.185 (multiplicity 4)
U 0.000 0.000 0.404 (multiplicity 4)
S 0.000 0.000 0.313 (multiplicity 4)
S 0.000 0.000 0.500 (multiplicity 2)
S 0.000 0.500 0.094 (multiplicity 8)

Computed properties:
size of the total moment: 1.03 μB/f.u.
crystal system: tetragonal
energy relative to the elements, uncorrected: -1.309 eV per atom

Record 10
## K3Rb2US6 (PBE)

Data for K3Rb2US6 after structural relaxation.

Cell: 8.012 13.704 7.605 Å, 90.00 111.65 90.00°
Space group C2/m (No. 12)
Asymmetric unit:
K 0.000 0.000 0.000 (multiplicity 2)
K 0.000 0.330 0.000 (multiplicity 4)
Rb 0.000 0.166 0.500 (multiplicity 4)
U 0.000 0.500 0.500 (multiplicity 2)
S 0.190 0.500 0.294 (multiplicity 4)
S 0.204 0.367 0.716 (multiplicity 8)

Computed properties:
size of the total moment: 1.15 μB/f.u.
crystal system: monoclinic
energy relative to the elements, uncorrected: -1.178 eV per atom

Record 11
## K2Rb3US6 (PBE)

Data for K2Rb3US6 after structural relaxation.

Cell: 7.839 13.445 7.883 Å, 90.00 109.76 90.00°
Space group C2/m (No. 12)
Asymmetric unit:
K 0.000 0.166 0.000 (multiplicity 4)
Rb 0.000 0.000 0.500 (multiplicity 2)
Rb 0.000 0.325 0.500 (multiplicity 4)
U 0.000 0.500 0.000 (multiplicity 2)
S 0.200 0.500 0.800 (multiplicity 4)
S 0.203 0.364 0.201 (multiplicity 8)

Computed properties:
size of the total moment: 1.16 μB/f.u.
crystal system: monoclinic
energy relative to the elements, uncorrected: -1.182 eV per atom

Record 12
## KRbUS3 (PBE)

Data for KRbUS3 after structural relaxation.

Cell: 7.668 15.363 7.230 Å, 90.00 101.05 90.00°
Space group C2/c (No. 15)
Asymmetric unit:
K 0.000 0.081 0.250 (multiplicity 4)
Rb 0.000 0.259 0.750 (multiplicity 4)
U 0.000 0.446 0.250 (multiplicity 4)
S 0.000 0.281 0.250 (multiplicity 4)
S 0.217 0.459 0.002 (multiplicity 8)

Computed properties:
size of the total moment: 2.00 μB/f.u.
crystal system: monoclinic
energy relative to the elements, uncorrected: -1.292 eV per atom

Q: Which of these has the highest size of the total moment?
A: KRb2TcS4

Q: The lowest energy relative to the elements, uncorrected belongs to which entry?
A: K3RbTh2S6

Q: Which of these has the highest size of the total moment?
A: KRb2TcS4